Record 1
Compound: Hf4HN3
Source: Alexandria via LeMat-Bulk
Functional: PBE
Structure: relaxed

Structure (CIF):
```
data_Hf4HN3
_chemical_formula_sum 'Hf8 H2 N6'
_space_group_name_H-M_alt 'P m n 21'
_space_group_IT_number 31
_space_group_name_Hall 'P 2ac -2'
_cell_length_a 7.289
_cell_length_b 6.357
_cell_length_c 4.628
_cell_angle_alpha 90.00
_cell_angle_beta 90.00
_cell_angle_gamma 90.00
loop_
_atom_site_label
_atom_site_type_symbol
_atom_site_fract_x
_atom_site_fract_y
_atom_site_fract_z
Hf1 Hf 0.000 0.149 0.000
Hf2 Hf 0.000 0.822 0.503
Hf3 Hf 0.235 0.325 0.503
H1 H 0.000 0.152 0.441
N1 N 0.000 0.809 0.005
N2 N 0.245 0.343 0.004
```

The calculation puts the density at 11722 kg/m3. The value obtained for the total energy is -9.770 eV per atom.

***

Record 2
Compound: Na2ZnAgCl6
Source: Alexandria via LeMat-Bulk
Functional: PBE
Structure: relaxed

Structure (CIF):
```
data_Na2ZnAgCl6
_chemical_formula_sum 'Na4 Zn2 Ag2 Cl12'
_space_group_name_H-M_alt 'P 1 21/c 1'
_space_group_IT_number 14
_space_group_name_Hall '-P 2ybc'
_cell_length_a 7.016
_cell_length_b 6.894
_cell_length_c 11.732
_cell_angle_alpha 90.00
_cell_angle_beta 124.17
_cell_angle_gamma 90.00
loop_
_atom_site_label
_atom_site_type_symbol
_atom_site_fract_x
_atom_site_fract_y
_atom_site_fract_z
Na1 Na 0.225 0.061 0.237
Zn1 Zn 0.000 0.000 0.500
Ag1 Ag 0.500 0.000 0.000
Cl1 Cl 0.100 0.224 0.942
Cl2 Cl 0.246 0.701 0.931
Cl3 Cl 0.376 0.056 0.756
```

The value obtained for the formation energy from raw total energies is -1.102 eV/atom. The calculation puts the density at 3056 kg/m3. The value obtained for the total energy is -2.887 eV per atom.

***

Record 3
Compound: Cs2ScPaS4
Source: Alexandria via LeMat-Bulk
Functional: PBE
Structure: relaxed

Structure (CIF):
```
data_Cs2ScPaS4
_chemical_formula_sum 'Cs2 Sc1 Pa1 S4'
_space_group_name_H-M_alt 'P 1 2/m 1'
_space_group_IT_number 10
_space_group_name_Hall '-P 2y'
_cell_length_a 6.896
_cell_length_b 3.997
_cell_length_c 8.409
_cell_angle_alpha 90.00
_cell_angle_beta 105.77
_cell_angle_gamma 90.00
loop_
_atom_site_label
_atom_site_type_symbol
_atom_site_fract_x
_atom_site_fract_y
_atom_site_fract_z
Cs1 Cs 0.000 0.000 0.000
Cs2 Cs 0.500 0.500 0.000
Sc1 Sc 0.000 0.500 0.500
Pa1 Pa 0.500 0.000 0.500
S1 S 0.219 0.000 0.676
S2 S 0.262 0.500 0.317
```

The value obtained for the formation energy from raw total energies is -1.546 eV/atom. The calculation puts the density at 4987 kg/m3. The value obtained for the total energy is -5.801 eV per atom.

***

Record 4
Compound: AlTe2Cl
Source: Alexandria via LeMat-Bulk
Functional: PBE
Structure: relaxed

Structure (CIF):
```
data_AlTe2Cl
_chemical_formula_sum 'Al2 Te4 Cl2'
_space_group_name_H-M_alt 'C m m m'
_space_group_IT_number 65
_space_group_name_Hall '-C 2 2'
_cell_length_a 4.051
_cell_length_b 7.249
_cell_length_c 8.061
_cell_angle_alpha 90.00
_cell_angle_beta 90.00
_cell_angle_gamma 90.00
loop_
_atom_site_label
_atom_site_type_symbol
_atom_site_fract_x
_atom_site_fract_y
_atom_site_fract_z
Al1 Al 0.000 0.000 0.000
Te1 Te 0.000 0.500 0.216
Cl1 Cl 0.000 0.000 0.500
```

The value obtained for the formation energy from raw total energies is -0.078 eV/atom. The calculation puts the density at 4456 kg/m3. The value obtained for the total energy is -3.046 eV per atom.

***

Record 5
Compound: Th2BiP
Source: Alexandria via LeMat-Bulk
Functional: PBE
Structure: relaxed

Structure (CIF):
```
data_Th2BiP
_chemical_formula_sum 'Th6 Bi3 P3'
_space_group_name_H-M_alt 'R 3 m'
_space_group_IT_number 160
_space_group_name_Hall 'R 3 -2"'
_cell_length_a 4.2423
_cell_length_b 4.2423
_cell_length_c 22.7092
_cell_angle_alpha 90.00
_cell_angle_beta 90.00
_cell_angle_gamma 120.00
loop_
_atom_site_label
_atom_site_type_symbol
_atom_site_fract_x
_atom_site_fract_y
_atom_site_fract_z
Th1 Th 0.0000 0.0000 0.0000
Th2 Th 0.0000 0.0000 0.1954
Bi1 Bi 0.0000 0.0000 0.4310
P1 P 0.0000 0.0000 0.5996
```

The calculation puts the density at 9909 kg/m3. The value obtained for the total energy is -7.090 eV per atom. For the formation energy from the elements, the calculation gives -4.23 eV per formula unit.

***

Record 6
Compound: La2TmCd
Source: Alexandria via LeMat-Bulk
Functional: PBE
Structure: relaxed

Structure (CIF):
```
data_La2TmCd
_chemical_formula_sum 'La8 Tm4 Cd4'
_space_group_name_H-M_alt 'I 4/m m m'
_space_group_IT_number 139
_space_group_name_Hall '-I 4 2'
_cell_length_a 5.293
_cell_length_b 5.293
_cell_length_c 17.985
_cell_angle_alpha 90.00
_cell_angle_beta 90.00
_cell_angle_gamma 90.00
loop_
_atom_site_label
_atom_site_type_symbol
_atom_site_fract_x
_atom_site_fract_y
_atom_site_fract_z
La1 La 0.000 0.000 0.136
La2 La 0.000 0.500 0.000
Tm1 Tm 0.000 0.000 0.356
Cd1 Cd 0.000 0.500 0.250
```

The calculation puts the density at 7371 kg/m3. The value obtained for the total energy is -3.960 eV per atom. For the formation energy from the elements, the calculation gives -0.60 eV per formula unit.